1.
First-principles (GGA-PBE) data for crystalline TaVH at its relaxed geometry, as listed in Alexandria via LeMat-Bulk.

abc: 2.815 5.651 5.426
angles: 58.85 78.99 67.84
Positions (direct):
Ta1 0.296 0.459 0.281
Ta2 0.298 0.934 0.315
V1 0.805 0.462 0.794
V2 0.790 0.931 0.801
H1 0.130 0.188 0.663
H2 0.464 0.205 0.933

Output
polymorph energy (0 for the lowest one)	16	meV/atom
electronic total energy	-8.23	eV/atom
calculated density	11.30	g/cm³
total moment	0.000	μB per cell

=====

2.
First-principles (GGA-PBE) data for crystalline TbGa4Pt at its relaxed geometry, as listed in Alexandria via LeMat-Bulk.

abc: 4.990 4.990 10.394
angles: 90.00 90.00 90.00
Positions (direct):
Tb1 0.000 0.000 0.500
Tb2 0.500 0.500 0.000
Ga1 0.500 0.754 0.705
Ga2 0.746 0.000 0.205
Ga3 0.754 0.500 0.295
Ga4 0.000 0.746 0.795
Ga5 0.500 0.246 0.705
Ga6 0.000 0.254 0.795
Ga7 0.254 0.000 0.205
Ga8 0.246 0.500 0.295
Pt1 0.500 0.500 0.500
Pt2 0.000 0.000 0.000

Output
electronic total energy	-4.06	eV/atom
calculated density	8.12	g/cm³
total moment	0.000	μB per cell

=====

3.
First-principles (GGA-PBE) data for crystalline In2HPbAu at its relaxed geometry, as listed in Alexandria via LeMat-Bulk.

abc: 5.704 5.704 3.531
angles: 90.00 90.00 90.00
Positions (direct):
Pb1 0.500 0.500 0.500
Au1 0.000 0.000 0.000
In1 0.500 0.000 0.000
In2 0.000 0.500 0.000
H1 0.000 0.000 0.500

Output
electronic total energy	-3.12	eV/atom
calculated density	9.18	g/cm³
total moment	0.000	μB per cell

=====

4.
First-principles (GGA-PBE) data for crystalline Fe2AsRu at its relaxed geometry, as listed in Alexandria via LeMat-Bulk.

abc: 7.968 7.968 7.968
angles: 20.53 20.53 20.53
Each line ends with the local moment (μB).
Positions (direct):
Fe1 0.999 0.999 0.999  2.33
Fe2 0.254 0.254 0.254  2.71
Ru1 0.499 0.499 0.499  0.10
As1 0.748 0.748 0.748  -0.04

Output
electronic total energy	-7.52	eV/atom
calculated density	8.77	g/cm³
total moment	5.067	μB per cell

=====

5.
First-principles (GGA-PBE) data for crystalline TeAsH3 at its relaxed geometry, as listed in Alexandria via LeMat-Bulk.

abc: 3.978 3.978 3.978
angles: 90.00 90.00 90.00
Positions (direct):
H1 0.500 0.000 0.000
H2 0.000 0.500 0.000
H3 0.000 0.000 0.500
As1 0.500 0.500 0.500
Te1 0.000 0.000 0.000

Output
polymorph energy (0 for the lowest one)	180	meV/atom
electronic total energy	-2.65	eV/atom
calculated density	5.42	g/cm³
total moment	0.000	μB per cell

=====

6.
First-principles (GGA-PBE) data for crystalline KAl2Hg at its relaxed geometry, as listed in Alexandria via LeMat-Bulk.

abc: 4.282 4.660 5.089
angles: 90.00 90.00 90.00
Positions (direct):
Al1 0.500 0.500 0.000
Al2 0.000 0.000 0.000
Hg1 0.500 0.000 0.500
K1 0.000 0.500 0.500

Output
electronic total energy	-1.89	eV/atom
calculated density	4.80	g/cm³
total moment	0.000	μB per cell

=====

7.
First-principles (GGA-PBE) data for crystalline Pa6Tc2Ru at its relaxed geometry, as listed in Alexandria via LeMat-Bulk.

abc: 6.065 7.450 9.025
angles: 90.00 88.30 90.00
Positions (direct):
Pa1 0.867 0.938 0.230
Pa2 0.390 0.779 0.460
Pa3 0.110 0.279 0.040
Pa4 0.887 0.649 0.564
Pa5 0.113 0.351 0.436
Pa6 0.890 0.721 0.960
Pa7 0.633 0.438 0.270
Pa8 0.367 0.562 0.730
Pa9 0.610 0.221 0.540
Pa10 0.613 0.149 0.936
Pa11 0.387 0.851 0.064
Pa12 0.133 0.062 0.770
Ru1 0.500 0.500 0.000
Ru2 0.000 0.000 0.500
Tc1 0.374 0.069 0.278
Tc2 0.626 0.931 0.722
Tc3 0.874 0.431 0.778
Tc4 0.126 0.569 0.222

Output
electronic total energy	-9.82	eV/atom
calculated density	13.72	g/cm³
total moment	0.000	μB per cell

=====

8.
First-principles (GGA-PBE) data for crystalline Pm8Sm3Er at its relaxed geometry, as listed in Alexandria via LeMat-Bulk.

abc: 8.488 8.488 8.488
angles: 94.25 117.58 117.58
Positions (direct):
Pm1 0.504 0.747 0.747
Pm2 0.496 0.242 0.242
Pm3 0.751 0.124 0.124
Pm4 0.000 0.758 0.253
Pm5 0.000 0.627 0.876
Pm6 0.249 0.373 0.373
Pm7 0.000 0.876 0.627
Pm8 0.000 0.253 0.758
Sm1 0.500 0.250 0.750
Sm2 0.000 0.500 0.500
Sm3 0.500 0.750 0.250
Er1 0.000 0.000 0.000

Output
electronic total energy	-4.15	eV/atom
calculated density	6.61	g/cm³
total moment	0.001	μB per cell